This record from Alexandria describes an optimized crystal structure of Na2GeH6. The functional is PBE-GGA.

Cell and atoms, written as extended XYZ:
```
18
Lattice="-1.488 0.012 4.469 -3.210 -3.280 -1.060 6.267 -6.814 2.105" Properties=species:S:1:pos:R:3 pbc="T T T"
Na 2.088 -2.270 0.701
Na 2.872 -7.311 3.459
Na -1.304 -2.771 2.056
Na 4.179 -4.544 1.404
Ge 0.000 0.000 0.000
Ge 0.784 -5.041 2.757
H 0.804 -3.579 1.881
H -0.860 -4.737 3.088
H 2.549 -8.628 1.752
H 3.661 -6.502 5.322
H -2.094 -3.580 0.192
H -0.982 -1.454 3.763
H 2.428 -5.345 2.426
H 0.763 -6.503 3.634
H -1.178 -0.820 0.855
H -3.520 -2.448 2.554
H 0.352 -5.867 1.370
H 1.216 -4.215 4.144
```

Calculated values
The calculation puts the polymorph energy (0 for the lowest one) at 0.000 eV/atom.